First-principles (PBE-GGA) data for a geometry-optimized Zn2CoH structure, as listed in Alexandria.

Cell lengths 4.9125, 4.9125, 4.9125 Å; angles 101.66, 101.66, 126.57 degrees
With the nearest neighbours (Å) after each atom.
Positions (direct):
Zn  0.0454  0.6250  0.9204  2 H 1.96
Zn  0.3750  0.2954  0.4204  2 H 1.96
Zn  0.7046  0.1250  0.0796  2 H 1.96
Zn  0.8750  0.9546  0.5796  2 H 1.96
Co  0.2500  0.7500  0.5000  2 H 2.21
Co  0.5000  0.5000  0.0000  2 H 2.21
H  0.0000  0.0000  0.0000  4 Zn 1.96
H  0.7500  0.2500  0.5000  4 Zn 1.96

Values from the calculation:
Space group ... No. 122
Relative energy among the computed polymorphs ... 0.297 eV/atom

First-principles (PBE-GGA) data for a geometry-optimized Zn2Co4H structure, as listed in Alexandria.

Cell lengths 6.6142, 6.6142, 6.6142 Å; angles 148.92, 148.92, 44.53 degrees
With the nearest neighbours (Å) after each atom.
Positions (direct):
Zn  0.1534  0.1534  0.0000  9 Co 2.43-2.58
Zn  0.8466  0.8466  0.0000  9 Co 2.43-2.58
Co  0.0000  0.5000  0.5000  2 H 1.77
Co  0.3519  0.3519  0.0000  1 H 1.81
Co  0.5000  0.0000  0.5000  2 H 1.77
Co  0.6481  0.6481  0.0000  1 H 1.81
H  0.5000  0.5000  0.0000  6 Co 1.77-1.81

Values from the calculation:
Space group ... No. 139

First-principles (PBE-GGA) data for a geometry-optimized Zn2CoH5 structure, as listed in Alexandria.

Cell lengths 4.3387, 4.3387, 4.8245 Å; angles 122.58, 122.58, 78.54 degrees
With the nearest neighbours (Å) after each atom.
Positions (direct):
Zn  0.2488  0.7512  0.0000  4 H 1.91-2.05
Zn  0.7512  0.2488  0.0000  4 H 1.91-2.05
Co  0.9061  0.9061  0.4983  5 H 1.50-1.58
H  0.1908  0.6291  0.5011  1 Co 1.54
H  0.2319  0.2319  0.8110  1 Co 1.57
H  0.6291  0.1908  0.5011  1 Co 1.54
H  0.6774  0.6774  0.4874  1 Co 1.50
H  0.9086  0.9086  0.1741  1 Co 1.58

Values from the calculation:
Space group ... No. 8

First-principles (PBE-GGA) data for a geometry-optimized ZnCo3H structure, as listed in Alexandria.

Cell lengths 5.1126, 5.1126, 4.2201 Å; angles 90.00, 90.00, 120.00 degrees
With the nearest neighbours (Å) after each atom.
Positions (direct):
Zn  0.3333  0.6667  0.2500  12 Co 2.55-2.56
Zn  0.6667  0.3333  0.7500  12 Co 2.55-2.56
Co  0.1718  0.3437  0.7500  2 H 1.85
Co  0.1718  0.8282  0.7500  2 H 1.85
Co  0.3437  0.1718  0.2500  2 H 1.85
Co  0.6563  0.8282  0.7500  2 H 1.85
Co  0.8282  0.1718  0.2500  2 H 1.85
Co  0.8282  0.6563  0.2500  2 H 1.85
H  0.0000  0.0000  0.0000  6 Co 1.85
H  0.0000  0.0000  0.5000  6 Co 1.85

Values from the calculation:
Space group ... No. 194
Relative energy among the computed polymorphs ... 0.004 eV/atom

First-principles (PBE-GGA) data for a geometry-optimized Zn2Co2H structure, as listed in Alexandria.

Cell lengths 2.6567, 2.6567, 8.4283 Å; angles 90.00, 90.00, 120.00 degrees
With the nearest neighbours (Å) after each atom.
Positions (direct):
Zn  0.3333  0.6667  0.1374  3 Co 2.56, 9 Zn 2.66-2.78
Zn  0.6667  0.3333  0.8626  3 Co 2.56, 9 Zn 2.66-2.78
Co  0.3333  0.6667  0.6191  3 H 1.83
Co  0.6667  0.3333  0.3809  3 H 1.83
H  0.0000  0.0000  0.5000  6 Co 1.83

Values from the calculation:
Space group ... No. 164

First-principles (PBE-GGA) data for a geometry-optimized ZnCo2H structure, as listed in Alexandria.

Cell lengths 4.6876, 4.6876, 4.6876 Å; angles 108.63, 108.63, 111.17 degrees
With the nearest neighbours (Å) after each atom.
Positions (direct):
Zn  0.0000  0.0000  0.0000  8 Co 2.52, 2 H 2.65
Zn  0.7500  0.2500  0.5000  8 Co 2.52, 2 H 2.65
Co  0.2426  0.6250  0.1176  2 H 1.68
Co  0.3750  0.4926  0.6176  2 H 1.68
Co  0.5074  0.1250  0.8824  2 H 1.68
Co  0.8750  0.7574  0.3824  2 H 1.68
H  0.2500  0.7500  0.5000  4 Co 1.68
H  0.5000  0.5000  0.0000  4 Co 1.68

Values from the calculation:
Space group ... No. 122
Relative energy among the computed polymorphs ... 0.182 eV/atom

First-principles (PBE-GGA) data for a geometry-optimized Zn3CoH structure, as listed in Alexandria.

Cell lengths 4.6063, 4.6063, 4.6063 Å; angles 90.00, 90.00, 90.00 degrees
With the nearest neighbours (Å) after each atom.
Positions (direct):
Zn  0.0000  0.0000  0.5000  2 Co 2.30
Zn  0.0000  0.5000  0.0000  2 Co 2.30
Zn  0.5000  0.0000  0.0000  2 Co 2.30
Co  0.0000  0.0000  0.0000  6 Zn 2.30
H  0.5000  0.5000  0.5000  12 Zn 3.26

Values from the calculation:
Space group ... No. 221
Relative energy among the computed polymorphs ... 0.581 eV/atom

First-principles (PBE-GGA) data for a geometry-optimized ZnCoH3 structure, as listed in Alexandria.

Cell lengths 4.5428, 2.6562, 6.0815 Å; angles 90.00, 106.40, 90.00 degrees
With the nearest neighbours (Å) after each atom.
Positions (direct):
Zn  0.2328  0.2500  0.3331  2 H 1.82
Zn  0.7672  0.7500  0.6669  2 H 1.82
Co  0.3511  0.2500  0.7986  6 H 1.59-1.71
Co  0.6489  0.7500  0.2014  6 H 1.59-1.71
H  0.0121  0.2500  0.8258  1 Co 1.59
H  0.2691  0.7500  0.6306  2 Co 1.65
H  0.3363  0.7500  0.9712  3 Co 1.69-1.71
H  0.6637  0.2500  0.0288  3 Co 1.69-1.71
H  0.7309  0.2500  0.3694  2 Co 1.65
H  0.9879  0.7500  0.1742  1 Co 1.59

Values from the calculation:
Space group ... No. 11
Relative energy among the computed polymorphs ... 0.026 eV/atom

First-principles (PBE-GGA) data for a geometry-optimized Zn2CoH4 structure, as listed in Alexandria.

Cell lengths 5.3868, 5.3868, 5.3868 Å; angles 143.51, 143.51, 52.57 degrees
With the nearest neighbours (Å) after each atom.
Positions (direct):
Zn  0.1408  0.1408  0.0000  1 H 1.76
Zn  0.8592  0.8592  0.0000  1 H 1.76
Co  0.5000  0.5000  0.0000  6 H 1.69-1.71
H  0.0000  0.5000  0.5000  2 Co 1.69
H  0.3230  0.3230  0.0000  1 Co 1.71, 1 Zn 1.76
H  0.5000  0.0000  0.5000  2 Co 1.69
H  0.6770  0.6770  0.0000  1 Co 1.71, 1 Zn 1.76

Values from the calculation:
Space group ... No. 139

First-principles (PBE-GGA) data for a geometry-optimized ZnCo3H structure, as listed in Alexandria.

Cell lengths 3.6311, 3.6311, 3.6311 Å; angles 90.00, 90.00, 90.00 degrees
With the nearest neighbours (Å) after each atom.
Positions (direct):
Zn  0.0000  0.0000  0.0000  12 Co 2.57
Co  0.0000  0.5000  0.5000  2 H 1.82
Co  0.5000  0.0000  0.5000  2 H 1.82
Co  0.5000  0.5000  0.0000  2 H 1.82
H  0.5000  0.5000  0.5000  6 Co 1.82

Values from the calculation:
Space group ... No. 221
Relative energy among the computed polymorphs ... 0.000 eV/atom

First-principles (PBE-GGA) data for a geometry-optimized Zn2CoH structure, as listed in Alexandria.

Cell lengths 2.7572, 2.7572, 6.5965 Å; angles 101.96, 101.96, 60.13 degrees
With the nearest neighbours (Å) after each atom.
Positions (direct):
Zn  0.0000  0.0000  0.0000  3 Co 2.55-2.56, 9 Zn 2.76-2.78, 3 H 2.83-2.84
Zn  0.2143  0.2143  0.6444  3 H 2.39, 3 Co 2.66
Co  0.4368  0.4368  0.3119  3 H 1.63
H  0.7887  0.7887  0.3667  3 Co 1.63

Values from the calculation:
Space group ... No. 8
Relative energy among the computed polymorphs ... 0.000 eV/atom

First-principles (PBE-GGA) data for a geometry-optimized ZnCoH3 structure, as listed in Alexandria.

Cell lengths 3.2421, 3.2421, 3.2421 Å; angles 90.00, 90.00, 90.00 degrees
With the nearest neighbours (Å) after each atom.
Positions (direct):
Zn  0.0000  0.0000  0.0000  12 H 2.29
Co  0.5000  0.5000  0.5000  6 H 1.62
H  0.0000  0.5000  0.5000  2 Co 1.62
H  0.5000  0.0000  0.5000  2 Co 1.62
H  0.5000  0.5000  0.0000  2 Co 1.62

Values from the calculation:
Space group ... No. 221
Relative energy among the computed polymorphs ... 0.053 eV/atom

no.,final energy (eV per formula unit),magnetic moment (μB per formula unit)
1,-11.79,0.00
2,-33.19,4.55
3,-25.92,0.00
4,-25.82,4.04
5,-20.22,2.37
6,-18.15,2.73
7,-10.18,1.24
8,-17.91,0.00
9,-21.45,0.00
10,-25.83,3.89
11,-12.98,0.35
12,-17.78,0.00